Arrangement a

Density functional theory data (GGA-PBE) for crystalline NaAg4Sn2 at its relaxed geometry.

- Theoretical density: 6.9 g cm⁻³

Lattice parameters (Å, degrees): 4.088 4.088 19.824 90.00 90.00 90.00
Space group I4/mmm (No. 139)
Symmetry-distinct sites (fractional):
Na 0.000 0.000 0.000
Ag 0.000 0.000 0.148
Ag 0.000 0.500 0.250
Sn 0.000 0.000 0.378


Arrangement b

Density functional theory data (GGA-PBE) for crystalline NaAg4Sn2 at its relaxed geometry.

- Theoretical density: 6.4 g cm⁻³

Lattice parameters (Å, degrees): 5.048 5.048 14.152 90.00 90.00 90.00
Space group I4/mmm (No. 139)
Symmetry-distinct sites (fractional):
Na 0.000 0.000 0.000
Ag 0.000 0.000 0.195
Ag 0.000 0.500 0.000
Sn 0.000 0.000 0.388


In terms of stability, arrangement a leads; the second structure lies 0.404 eV/atom higher.


Arrangement a

Density functional theory data (GGA-PBE) for crystalline Na8Ag2Sn at its relaxed geometry.

- Theoretical density: 2.7 g cm⁻³

Lattice parameters (Å, degrees): 5.462 7.041 9.422 111.91 106.83 90.03
Space group P1 (No. 1)
Symmetry-distinct sites (fractional):
Na 0.000 0.000 0.000
Na 0.022 0.509 0.044
Na 0.231 0.398 0.461
Na 0.332 0.889 0.659
Na 0.434 0.605 0.865
Na 0.638 0.125 0.276
Na 0.660 0.658 0.321
Na 0.834 0.156 0.661
Ag 0.163 0.923 0.328
Ag 0.495 0.255 0.991
Sn 0.832 0.614 0.662


Arrangement b

Density functional theory data (GGA-PBE) for crystalline Na8Ag2Sn at its relaxed geometry.

- Theoretical density: 2.6 g cm⁻³

Lattice parameters (Å, degrees): 9.085 13.599 5.573 90.00 106.00 90.00
Space group C2/m (No. 12)
Symmetry-distinct sites (fractional):
Na 0.000 0.234 0.000
Na 0.135 0.500 0.832
Na 0.184 0.121 0.579
Ag 0.000 0.324 0.500
Sn 0.000 0.000 0.000


In terms of stability, arrangement a leads; the second structure lies 0.021 eV/atom higher.


Arrangement a

Density functional theory data (GGA-PBE) for crystalline NaTlAgSn at its relaxed geometry.

- Theoretical density: 7.3 g cm⁻³

Lattice parameters (Å, degrees): 3.236 3.236 19.823 90.00 90.00 90.00
Space group I4mm (No. 107)
Symmetry-distinct sites (fractional):
Na 0.000 0.000 0.000
Tl 0.000 0.000 0.633
Ag 0.000 0.000 0.776
Sn 0.000 0.000 0.374


Arrangement b

Density functional theory data (GGA-PBE) for crystalline NaTlAgSn at its relaxed geometry.

- Theoretical density: 7.8 g cm⁻³

Lattice parameters (Å, degrees): 7.290 7.290 7.290 90.00 90.00 90.00
Space group F-43m (No. 216)
Symmetry-distinct sites (fractional):
Na 0.000 0.000 0.000
Tl 0.250 0.250 0.250
Ag 0.000 0.000 0.500
Sn 0.250 0.250 0.750


In terms of stability, arrangement b leads; the second structure lies 0.039 eV/atom higher.


Arrangement a

Density functional theory data (GGA-PBE) for crystalline NaSrAg at its relaxed geometry.

- Theoretical density: 3.4 g cm⁻³

Lattice parameters (Å, degrees): 7.534 7.534 7.534 90.00 90.00 90.00
Space group F-43m (No. 216)
Symmetry-distinct sites (fractional):
Na 0.000 0.000 0.000
Sr 0.000 0.000 0.500
Ag 0.250 0.250 0.750


Arrangement b

Density functional theory data (GGA-PBE) for crystalline NaSrAg at its relaxed geometry.

- Theoretical density: 3.5 g cm⁻³

Lattice parameters (Å, degrees): 4.297 20.295 4.724 90.00 90.00 90.00
Space group Cmcm (No. 63)
Symmetry-distinct sites (fractional):
Na 0.000 0.205 0.250
Sr 0.000 0.413 0.250
Ag 0.000 0.042 0.250


In terms of stability, arrangement b leads; the second structure lies 0.104 eV/atom higher.